PmTl2InCl6: optimized geometry, PBE.

a = 7.8904 Å, b = 7.8963 Å, c = 8.0923 Å
α = 60.82°, β = 60.82°, γ = 60.03°
Closest atoms and distances in Å follow each position.
Space group P1 (No. 1)
One atom of each set of equivalent atoms:
Pm 0.0000 0.0000 0.0000 x1  6 Cl 2.72-2.76
Tl 0.2981 0.2983 0.1058 x1  6 Cl 3.22-3.30
Tl 0.7893 0.7899 0.6314 x1  6 Cl 3.27-3.30
In 0.5097 0.5094 0.4713 x1  6 Cl 3.12-3.30
Cl 0.1243 0.7527 0.7891 x1  1 Pm 2.72
Cl 0.1947 0.6554 0.2615 x1  1 Pm 2.76
Cl 0.3341 0.1243 0.7894 x1  1 Pm 2.72
Cl 0.6551 0.8886 0.2612 x1  1 Pm 2.76
Cl 0.7527 0.3341 0.7892 x1  1 Pm 2.72
Cl 0.8885 0.1946 0.2615 x1  1 Pm 2.76

Summary:
Energy relative to the elements, uncorrected (eV per formula unit): -15.00
DFT total energy (eV per atom): -3.830
D(E_F) (states/eV/atom): 0.00

PmTlIn2Cl6: optimized geometry, PBE.

a = 7.4511 Å, b = 8.4049 Å, c = 12.8814 Å
α = 90.00°, β = 121.96°, γ = 90.00°
Closest atoms and distances in Å follow each position.
Space group P2_1/c (No. 14)
One atom of each set of equivalent atoms:
Pm 0.0000 0.0000 0.0000 x2  6 Cl 2.73-2.74
Tl 0.5000 0.0000 0.5000 x2  6 Cl 3.19-3.30
In 0.2959 0.0673 0.7747 x4  6 Cl 3.10-3.39
Cl 0.0925 0.0749 0.2300 x4  1 Pm 2.74
Cl 0.2497 0.7351 0.0881 x4  1 Pm 2.73
Cl 0.3479 0.1604 0.0356 x4  1 Pm 2.74

Summary:
Energy relative to the elements, uncorrected (eV per formula unit): -14.58
DFT total energy (eV per atom): -3.825
D(E_F) (states/eV/atom): 0.00

PrIn2Cl8: optimized geometry, PBE.

a = 14.0353 Å, b = 8.1878 Å, c = 7.0721 Å
α = 90.00°, β = 100.44°, γ = 90.00°
Closest atoms and distances in Å follow each position.
Space group C2/m (No. 12)
One atom of each set of equivalent atoms:
Pr 0.0000 0.0000 0.0000 x2  6 Cl 2.80
In 0.1926 0.0000 0.6537 x4  4 Cl 2.38-2.56
Cl 0.0935 0.2170 0.7868 x8  1 In 2.54, 1 Pr 2.80
Cl 0.1368 0.5000 0.2352 x4  1 In 2.38
Cl 0.1666 0.0000 0.2854 x4  1 In 2.56, 1 Pr 2.80

Summary:
Energy relative to the elements, uncorrected (eV per formula unit): -14.66
DFT total energy (eV per atom): -3.608
D(E_F) (states/eV/atom): 0.42

PrInCl: optimized geometry, PBE.

a = 3.6577 Å, b = 3.6577 Å, c = 12.4290 Å
α = 90.00°, β = 90.00°, γ = 90.00°
Closest atoms and distances in Å follow each position.
Space group P4/nmm (No. 129, origin choice 2)
One atom of each set of equivalent atoms:
Pr 0.2500 0.2500 0.2496 x2  4 Cl 3.02
In 0.2500 0.2500 0.5699 x2  4 In 3.12, 4 Pr 3.42
Cl 0.2500 0.2500 0.8760 x2  4 Pr 3.02

Summary:
Energy relative to the elements, uncorrected (eV per formula unit): -3.35
DFT total energy (eV per atom): -4.239
D(E_F) (states/eV/atom): 0.67

PrInCl2: optimized geometry, PBE.

a = 3.9795 Å, b = 3.9795 Å, c = 29.6254 Å
α = 90.00°, β = 90.00°, γ = 120.00°
Closest atoms and distances in Å follow each position.
Space group R-3m (No. 166, hexagonal axes)
One atom of each set of equivalent atoms:
Pr 0.0000 0.0000 0.0000 x3  2 Cl 2.72
In 0.0000 0.0000 0.5000 x3  6 Cl 3.19
Cl 0.0000 0.0000 0.0920 x6  1 Pr 2.72

Summary:
Energy relative to the elements, uncorrected (eV per formula unit): -3.84
DFT total energy (eV per atom): -3.763
D(E_F) (states/eV/atom): 0.53

PrIn3Cl6: optimized geometry, PBE.

a = 7.5022 Å, b = 8.3857 Å, c = 12.9411 Å
α = 90.00°, β = 122.17°, γ = 90.00°
Closest atoms and distances in Å follow each position.
Space group P2_1/c (No. 14)
One atom of each set of equivalent atoms:
Pr 0.0000 0.0000 0.0000 x2  6 Cl 2.78
In 0.2950 0.0665 0.7740 x4  6 Cl 3.09-3.35
In 0.5000 0.0000 0.5000 x2  6 Cl 3.17-3.28
Cl 0.0909 0.0750 0.2326 x4  1 Pr 2.78, 1 In 3.09
Cl 0.2528 0.7302 0.0894 x4  1 Pr 2.78
Cl 0.3532 0.1620 0.0380 x4  1 Pr 2.78

Summary:
Energy relative to the elements, uncorrected (eV per formula unit): -14.04
DFT total energy (eV per atom): -3.812
D(E_F) (states/eV/atom): 0.00

PrTl2InCl6: optimized geometry, PBE.

a = 7.9237 Å, b = 7.9237 Å, c = 20.2223 Å
α = 90.00°, β = 90.00°, γ = 120.00°
Closest atoms and distances in Å follow each position.
Space group R3 (No. 146, hexagonal axes)
One atom of each set of equivalent atoms:
Pr 0.0000 0.0000 0.0000 x3  6 Cl 2.76-2.80
Tl 0.0000 0.0000 0.2976 x3  6 Cl 3.22-3.30
Tl 0.0000 0.0000 0.7900 x3  6 Cl 3.27-3.29
In 0.0000 0.0000 0.5090 x3  6 Cl 3.13-3.30
Cl 0.0108 0.3978 0.7366 x9  1 Pr 2.76
Cl 0.0729 0.6883 0.5781 x9  1 Pr 2.80, 1 In 3.13

Summary:
Energy relative to the elements, uncorrected (eV per formula unit): -14.94
DFT total energy (eV per atom): -3.827
D(E_F) (states/eV/atom): 0.00

In2PtCl: optimized geometry, PBE.

a = 7.6134 Å, b = 7.4891 Å, c = 3.0507 Å
α = 90.00°, β = 102.80°, γ = 90.00°
Closest atoms and distances in Å follow each position.
Space group C2/m (No. 12)
One atom of each set of equivalent atoms:
In 0.2500 0.2500 0.0000 x4  2 Cl 2.86, 2 Pt 2.86, 2 In 3.05
Pt 0.0000 0.0000 0.5000 x2  4 In 2.86, 2 Pt 3.05
Cl 0.0000 0.5000 0.5000 x2  4 In 2.86, 2 Cl 3.05

Summary:
Polymorph energy (0 for the lowest one) (eV/atom): 0.113
Energy relative to the elements, uncorrected (eV per formula unit): -1.54
DFT total energy (eV per atom): -3.726
D(E_F) (states/eV/atom): 0.20

InPt3Cl: optimized geometry, PBE.

a = 4.6465 Å, b = 4.6465 Å, c = 4.6465 Å
α = 90.00°, β = 90.00°, γ = 90.00°
Closest atoms and distances in Å follow each position.
Space group Pm-3m (No. 221)
One atom of each set of equivalent atoms:
In 0.0000 0.0000 0.0000 x1  12 Pt 3.29
Pt 0.0000 0.5000 0.5000 x3  2 Cl 2.32
Cl 0.5000 0.5000 0.5000 x1  6 Pt 2.32

Summary:
Polymorph energy (0 for the lowest one) (eV/atom): 0.000
Energy relative to the elements, uncorrected (eV per formula unit): 3.96
DFT total energy (eV per atom): -3.749
D(E_F) (states/eV/atom): 0.40

InPt4Cl: optimized geometry, PBE.

a = 7.6064 Å, b = 7.6064 Å, c = 7.6064 Å
α = 90.00°, β = 90.00°, γ = 90.00°
Closest atoms and distances in Å follow each position.
Space group F-43m (No. 216)
One atom of each set of equivalent atoms:
In 0.0000 0.0000 0.0000 x4  12 Pt 3.15, 4 Cl 3.29
Pt 0.1250 0.1250 0.6250 x16  6 Pt 2.69
Cl 0.2500 0.2500 0.2500 x4  12 Pt 3.15, 4 In 3.29

Summary:
Energy relative to the elements, uncorrected (eV per formula unit): 0.99
DFT total energy (eV per atom): -4.626
D(E_F) (states/eV/atom): 0.75

In2PtCl: optimized geometry, PBE.

a = 7.0571 Å, b = 7.0571 Å, c = 7.0571 Å
α = 90.00°, β = 90.00°, γ = 90.00°
Closest atoms and distances in Å follow each position.
Space group Fm-3m (No. 225)
One atom of each set of equivalent atoms:
In 0.2500 0.2500 0.2500 x8  4 Cl 3.06, 4 Pt 3.06
Pt 0.0000 0.0000 0.0000 x4  8 In 3.06
Cl 0.0000 0.0000 0.5000 x4  8 In 3.06

Summary:
Polymorph energy (0 for the lowest one) (eV/atom): 0.333
Energy relative to the elements, uncorrected (eV per formula unit): -0.66
DFT total energy (eV per atom): -3.506
D(E_F) (states/eV/atom): 0.60

InPt3Cl: optimized geometry, PBE.

a = 5.0260 Å, b = 5.0260 Å, c = 5.0260 Å
α = 90.00°, β = 90.00°, γ = 90.00°
Closest atoms and distances in Å follow each position.
Space group Pm-3m (No. 221)
One atom of each set of equivalent atoms:
In 0.0000 0.0000 0.0000 x1  6 Pt 2.51
Pt 0.0000 0.0000 0.5000 x3  2 In 2.51
Cl 0.5000 0.5000 0.5000 x1  12 Pt 3.55

Summary:
Polymorph energy (0 for the lowest one) (eV/atom): 0.409
Energy relative to the elements, uncorrected (eV per formula unit): 6.01
DFT total energy (eV per atom): -3.340
D(E_F) (states/eV/atom): 0.24